1.
# SiH2Br (PBE, optimized geometry)
data_SiH2Br
_cell_length_a 3.352
_cell_length_b 4.146
_cell_length_c 5.770
_cell_angle_alpha 95.71
_cell_angle_beta 106.16
_cell_angle_gamma 110.94
_space_group_name_H-M_alt 'P 1'
_space_group_IT_number 1
loop_
_space_group_symop_operation_xyz
'x,y,z'
loop_
_atom_site_label
_atom_site_type_symbol
_atom_site_fract_x
_atom_site_fract_y
_atom_site_fract_z
Si1 Si 0.000 0.000 0.000
H1 H 0.237 0.364 0.169
H2 H 0.451 0.865 0.016
Br1 Br 0.873 0.123 0.621
# E: -3.40 eV per atom
# Volume: 70.1 Å³/cell
# Energy above the lowest structure with this stoichiometry: 0.144 eV/f.u.

=====

2.
# Zn2IrRh (PBE, optimized geometry)
data_Zn2IrRh
_cell_length_a 9.709
_cell_length_b 2.802
_cell_length_c 4.542
_cell_angle_alpha 90.00
_cell_angle_beta 113.62
_cell_angle_gamma 90.00
_space_group_name_H-M_alt 'C 1 m 1'
_space_group_IT_number 8
loop_
_space_group_symop_operation_xyz
'x,y,z'
'x,-y,z'
'x+1/2,y+1/2,z'
'x+1/2,-y+1/2,z'
loop_
_atom_site_label
_atom_site_type_symbol
_atom_site_fract_x
_atom_site_fract_y
_atom_site_fract_z
Zn1 Zn 0.000 0.000 0.000
Zn2 Zn 0.235 0.000 0.581
Ir1 Ir 0.486 0.000 0.497
Rh1 Rh 0.250 0.500 0.086
# E: -4.95 eV per atom
# Volume: 113.2 Å³/cell
# ΔE_f: -0.26 eV per atom

=====

3.
# CdNi (PBE, optimized geometry)
data_CdNi
_cell_length_a 2.960
_cell_length_b 4.514
_cell_length_c 9.280
_cell_angle_alpha 90.00
_cell_angle_beta 90.00
_cell_angle_gamma 90.00
_space_group_name_H-M_alt 'I m m a'
_space_group_IT_number 74
_space_group_name_Hall '-I 2b 2'
loop_
_atom_site_label
_atom_site_type_symbol
_atom_site_fract_x
_atom_site_fract_y
_atom_site_fract_z
Cd1 Cd 0.000 0.250 0.109
Ni1 Ni 0.000 0.250 0.645
# E: -3.25 eV per atom
# Volume: 124.0 Å³/cell
# ΔE_f: 0.10 eV per atom

=====

4.
# HoGe2Br8 (PBE, optimized geometry)
data_HoGe2Br8
_cell_length_a 12.275
_cell_length_b 10.837
_cell_length_c 7.333
_cell_angle_alpha 90.00
_cell_angle_beta 105.68
_cell_angle_gamma 90.00
_space_group_name_H-M_alt 'C 1 2/m 1'
_space_group_IT_number 12
loop_
_space_group_symop_operation_xyz
'x,y,z'
'-x,-y,-z'
'-x,y,-z'
'x,-y,z'
'x+1/2,y+1/2,z'
'-x+1/2,-y+1/2,-z'
'-x+1/2,y+1/2,-z'
'x+1/2,-y+1/2,z'
loop_
_atom_site_label
_atom_site_type_symbol
_atom_site_fract_x
_atom_site_fract_y
_atom_site_fract_z
Ho1 Ho 0.000 0.000 0.000
Ge1 Ge 0.183 0.000 0.644
Br1 Br 0.086 0.176 0.795
Br2 Br 0.125 0.500 0.172
Br3 Br 0.208 0.000 0.277
# E: -3.40 eV per atom
# Energy relative to the elements, uncorrected: -21.4 kcal/mol of atoms
# Volume: 939.2 Å³/cell

=====

Total moment (Bohr magnetons per cell)
0.0; 0.0; 0.0; 0.0